# 1
The following is a PBE calculation of a geometry-optimized Tm3SiSe2 structure, from Alexandria via LeMat-Bulk.

a = 4.0575 Å, b = 5.7009 Å, c = 12.1738 Å
α = 90.00°, β = 90.00°, γ = 90.00°
Last column: nearest neighbours and their distance in Å.
Sites, in units of the cell vectors:
Tm (0.0000, 0.0000, 0.0000)  2 Si 2.85, 4 Se 2.90
Tm (0.0000, 0.0000, 0.3437)  2 Si 2.78, 4 Se 2.86-2.93
Tm (0.0000, 0.0000, 0.6563)  2 Si 2.78, 4 Se 2.86-2.93
Tm (0.5000, 0.5000, 0.1563)  2 Si 2.78, 4 Se 2.86-2.93
Tm (0.5000, 0.5000, 0.5000)  2 Si 2.85, 4 Se 2.90
Tm (0.5000, 0.5000, 0.8437)  2 Si 2.78, 4 Se 2.86-2.93
Si (0.0000, 0.5000, 0.0000)  6 Tm 2.78-2.85
Si (0.5000, 0.0000, 0.5000)  6 Tm 2.78-2.85
Se (0.0000, 0.5000, 0.3303)  6 Tm 2.86-2.93
Se (0.0000, 0.5000, 0.6697)  6 Tm 2.86-2.93
Se (0.5000, 0.0000, 0.1697)  6 Tm 2.86-2.93
Se (0.5000, 0.0000, 0.8303)  6 Tm 2.86-2.93

Summary:
The volume comes out at 282 Å³/cell. The calculation puts the total DFT energy (no corrections) at -69.24 eV for the cell shown. As for the formation energy (no corrections): -1.47 eV/atom.

# 2
The following is a PBE calculation of a geometry-optimized Tm4SiSe2 structure, from Alexandria via LeMat-Bulk.

a = 6.7053 Å, b = 6.7053 Å, c = 13.4136 Å
α = 90.00°, β = 90.00°, γ = 145.60°
Last column: nearest neighbours and their distance in Å.
Sites, in units of the cell vectors:
Tm (0.0000, 0.0000, 0.0000)  4 Se 2.81
Tm (0.0000, 0.0000, 0.5000)  4 Se 2.81
Tm (0.2830, 0.7170, 0.6294)  3 Se 2.76-2.84, 2 Si 2.94
Tm (0.2830, 0.7170, 0.8706)  3 Se 2.76-2.84, 2 Si 2.94
Tm (0.4482, 0.5518, 0.2500)  2 Se 2.76, 2 Si 2.82
Tm (0.5518, 0.4482, 0.7500)  2 Se 2.76, 2 Si 2.82
Tm (0.7170, 0.2830, 0.1294)  3 Se 2.76-2.84, 2 Si 2.94
Tm (0.7170, 0.2830, 0.3706)  3 Se 2.76-2.84, 2 Si 2.94
Si (0.1047, 0.8953, 0.2500)  6 Tm 2.82-2.94
Si (0.8953, 0.1047, 0.7500)  6 Tm 2.82-2.94
Se (0.3596, 0.6404, 0.0628)  6 Tm 2.76-2.84
Se (0.3596, 0.6404, 0.4372)  6 Tm 2.76-2.84
Se (0.6404, 0.3596, 0.5628)  6 Tm 2.76-2.84
Se (0.6404, 0.3596, 0.9372)  6 Tm 2.76-2.84

Summary:
The volume comes out at 341 Å³/cell. The calculation puts the total DFT energy (no corrections) at -76.84 eV for the cell shown. As for the formation energy (no corrections): -1.16 eV/atom.

# 3
The following is a PBE calculation of a geometry-optimized Tm5SiSe4 structure, from Alexandria via LeMat-Bulk.

a = 7.0014 Å, b = 7.0014 Å, c = 7.0014 Å
α = 99.47°, β = 99.47°, γ = 132.15°
Last column: nearest neighbours and their distance in Å.
Sites, in units of the cell vectors:
Tm (0.0000, 0.0000, 0.0000)  2 Si 2.84, 4 Se 2.88
Tm (0.2129, 0.5967, 0.8095)  1 Si 2.74, 5 Se 2.84-2.94
Tm (0.4033, 0.2129, 0.6162)  1 Si 2.74, 5 Se 2.84-2.94
Tm (0.5967, 0.7871, 0.3838)  1 Si 2.74, 5 Se 2.84-2.94
Tm (0.7871, 0.4033, 0.1905)  1 Si 2.74, 5 Se 2.84-2.94
Si (0.5000, 0.5000, 0.0000)  6 Tm 2.74-2.84
Se (0.0965, 0.3033, 0.3998)  6 Tm 2.84-2.94
Se (0.3033, 0.9035, 0.2068)  6 Tm 2.84-2.94
Se (0.6967, 0.0965, 0.7932)  6 Tm 2.84-2.94
Se (0.9035, 0.6967, 0.6002)  6 Tm 2.84-2.94

Summary:
The volume comes out at 233 Å³/cell. The calculation puts the total DFT energy (no corrections) at -57.38 eV for the cell shown. As for the formation energy (no corrections): -1.57 eV/atom.

# 4
The following is a PBE calculation of a geometry-optimized Tm4SiSe3 structure, from Alexandria via LeMat-Bulk.

a = 5.6986 Å, b = 5.6986 Å, c = 5.6986 Å
α = 90.00°, β = 90.00°, γ = 90.00°
Last column: nearest neighbours and their distance in Å.
Sites, in units of the cell vectors:
Tm (0.0000, 0.0000, 0.0000)  6 Se 2.85
Tm (0.0000, 0.5000, 0.5000)  4 Se 2.85, 2 Si 2.85
Tm (0.5000, 0.0000, 0.5000)  4 Se 2.85, 2 Si 2.85
Tm (0.5000, 0.5000, 0.0000)  4 Se 2.85, 2 Si 2.85
Si (0.5000, 0.5000, 0.5000)  6 Tm 2.85
Se (0.0000, 0.0000, 0.5000)  6 Tm 2.85
Se (0.0000, 0.5000, 0.0000)  6 Tm 2.85
Se (0.5000, 0.0000, 0.0000)  6 Tm 2.85

Summary:
The volume comes out at 185 Å³/cell. The calculation puts the total DFT energy (no corrections) at -45.95 eV for the cell shown. As for the formation energy (no corrections): -1.52 eV/atom.

# 5
The following is a PBE calculation of a geometry-optimized TmSi2Se4 structure, from Alexandria via LeMat-Bulk.

a = 7.4822 Å, b = 7.4822 Å, c = 6.6824 Å
α = 90.00°, β = 90.00°, γ = 90.00°
Last column: nearest neighbours and their distance in Å.
Sites, in units of the cell vectors:
Tm (0.0000, 0.0000, 0.0000)  4 Se 2.80
Tm (0.5000, 0.5000, 0.5000)  4 Se 2.80
Si (0.0000, 0.5000, 0.2500)  4 Se 2.53
Si (0.0000, 0.5000, 0.7500)  4 Se 2.53
Si (0.5000, 0.0000, 0.2500)  4 Se 2.53
Si (0.5000, 0.0000, 0.7500)  4 Se 2.53
Se (0.1747, 0.6840, 0.5000)  2 Si 2.53, 1 Tm 2.80
Se (0.1840, 0.3253, 0.0000)  2 Si 2.53, 1 Tm 2.80
Se (0.3160, 0.1747, 0.5000)  2 Si 2.53, 1 Tm 2.80
Se (0.3253, 0.8160, 0.0000)  2 Si 2.53, 1 Tm 2.80
Se (0.6747, 0.1840, 0.0000)  2 Si 2.53, 1 Tm 2.80
Se (0.6840, 0.8253, 0.5000)  2 Si 2.53, 1 Tm 2.80
Se (0.8160, 0.6747, 0.0000)  2 Si 2.53, 1 Tm 2.80
Se (0.8253, 0.3160, 0.5000)  2 Si 2.53, 1 Tm 2.80

Summary:
The volume comes out at 374 Å³/cell. The calculation puts the total DFT energy (no corrections) at -63.46 eV for the cell shown. As for the formation energy (no corrections): -0.35 eV/atom.

# 6
The following is a PBE calculation of a geometry-optimized Tm2SiSe4 structure, from Alexandria via LeMat-Bulk.

a = 6.1906 Å, b = 6.1906 Å, c = 12.2433 Å
α = 90.00°, β = 90.00°, γ = 90.00°
Last column: nearest neighbours and their distance in Å.
Sites, in units of the cell vectors:
Tm (0.0000, 0.5000, 0.2500)  4 Se 2.71
Tm (0.0000, 0.5000, 0.7500)  4 Se 2.71
Tm (0.5000, 0.0000, 0.2500)  4 Se 2.71
Tm (0.5000, 0.0000, 0.7500)  4 Se 2.71
Si (0.0000, 0.0000, 0.0000)  4 Se 2.62
Si (0.5000, 0.5000, 0.5000)  4 Se 2.62
Se (0.2490, 0.2490, 0.1193)  1 Si 2.62, 2 Tm 2.71
Se (0.2490, 0.7510, 0.8807)  1 Si 2.62, 2 Tm 2.71
Se (0.2510, 0.2510, 0.6193)  1 Si 2.62, 2 Tm 2.71
Se (0.2510, 0.7490, 0.3807)  1 Si 2.62, 2 Tm 2.71
Se (0.7490, 0.2510, 0.3807)  1 Si 2.62, 2 Tm 2.71
Se (0.7490, 0.7490, 0.6193)  1 Si 2.62, 2 Tm 2.71
Se (0.7510, 0.2490, 0.8807)  1 Si 2.62, 2 Tm 2.71
Se (0.7510, 0.7510, 0.1193)  1 Si 2.62, 2 Tm 2.71

Summary:
The volume comes out at 469 Å³/cell. The calculation puts the total DFT energy (no corrections) at -70.39 eV for the cell shown. As for the formation energy (no corrections): -0.98 eV/atom.

# 7
The following is a PBE calculation of a geometry-optimized TmSiSe4 structure, from Alexandria via LeMat-Bulk.

a = 6.5175 Å, b = 6.5175 Å, c = 9.2376 Å
α = 90.00°, β = 90.00°, γ = 90.00°
Last column: nearest neighbours and their distance in Å.
Sites, in units of the cell vectors:
Tm (0.0000, 0.0000, 0.0000)  4 Se 2.72
Tm (0.0000, 0.0000, 0.5000)  4 Se 2.72
Si (0.0000, 0.5000, 0.2500)  4 Se 2.29
Si (0.5000, 0.0000, 0.7500)  4 Se 2.29
Se (0.2303, 0.2874, 0.3627)  1 Si 2.29
Se (0.2303, 0.7126, 0.1373)  1 Si 2.29
Se (0.2874, 0.2303, 0.8627)  1 Si 2.29
Se (0.2874, 0.7697, 0.6373)  1 Si 2.29
Se (0.7126, 0.2303, 0.6373)  1 Si 2.29
Se (0.7126, 0.7697, 0.8627)  1 Si 2.29
Se (0.7697, 0.2874, 0.1373)  1 Si 2.29
Se (0.7697, 0.7126, 0.3627)  1 Si 2.29

Summary:
The volume comes out at 392 Å³/cell. The calculation puts the total DFT energy (no corrections) at -55.93 eV for the cell shown. As for the formation energy (no corrections): -0.69 eV/atom.

# 8
The following is a PBE calculation of a geometry-optimized Tm6SiSe5 structure, from Alexandria via LeMat-Bulk.

a = 6.9874 Å, b = 6.9874 Å, c = 7.0020 Å
α = 99.55°, β = 99.55°, γ = 120.02°
Last column: nearest neighbours and their distance in Å.
Sites, in units of the cell vectors:
Tm (0.0798, 0.3982, 0.7393)  1 Si 2.73, 5 Se 2.86-2.95
Tm (0.2383, 0.2383, 0.2602)  1 Si 2.73, 5 Se 2.86-2.98
Tm (0.3982, 0.0798, 0.7393)  1 Si 2.73, 5 Se 2.86-2.95
Tm (0.6018, 0.9202, 0.2607)  1 Si 2.73, 5 Se 2.86-2.95
Tm (0.7617, 0.7617, 0.7398)  1 Si 2.73, 5 Se 2.86-2.98
Tm (0.9202, 0.6018, 0.2607)  1 Si 2.73, 5 Se 2.86-2.95
Si (0.0000, 0.0000, 0.5000)  6 Tm 2.73
Se (0.1708, 0.8292, 0.0000)  6 Tm 2.86-2.95
Se (0.3338, 0.6662, 0.5000)  6 Tm 2.86
Se (0.5000, 0.5000, 0.0000)  6 Tm 2.86-2.98
Se (0.6662, 0.3338, 0.5000)  6 Tm 2.86
Se (0.8292, 0.1708, 0.0000)  6 Tm 2.86-2.95

Summary:
The volume comes out at 279 Å³/cell. The calculation puts the total DFT energy (no corrections) at -68.75 eV for the cell shown. As for the formation energy (no corrections): -1.59 eV/atom.

# 9
The following is a PBE calculation of a geometry-optimized TmSiSe structure, from Alexandria via LeMat-Bulk.

a = 3.7482 Å, b = 3.7482 Å, c = 18.0686 Å
α = 90.00°, β = 90.00°, γ = 90.00°
Last column: nearest neighbours and their distance in Å.
Sites, in units of the cell vectors:
Tm (0.0000, 0.0000, 0.1385)  5 Se 2.80-3.11, 4 Si 3.13
Tm (0.0000, 0.0000, 0.8615)  5 Se 2.80-3.11, 4 Si 3.13
Tm (0.5000, 0.5000, 0.3615)  5 Se 2.80-3.11, 4 Si 3.13
Tm (0.5000, 0.5000, 0.6385)  5 Se 2.80-3.11, 4 Si 3.13
Si (0.0000, 0.5000, 0.0000)  4 Si 2.65
Si (0.0000, 0.5000, 0.5000)  4 Si 2.65
Si (0.5000, 0.0000, 0.0000)  4 Si 2.65
Si (0.5000, 0.0000, 0.5000)  4 Si 2.65
Se (0.0000, 0.0000, 0.3108)  5 Tm 2.80-3.11
Se (0.0000, 0.0000, 0.6892)  5 Tm 2.80-3.11
Se (0.5000, 0.5000, 0.1892)  5 Tm 2.80-3.11
Se (0.5000, 0.5000, 0.8108)  5 Tm 2.80-3.11

Summary:
The volume comes out at 254 Å³/cell. The calculation puts the total DFT energy (no corrections) at -66.47 eV for the cell shown. As for the formation energy (no corrections): -1.08 eV/atom.

# 10
The following is a PBE calculation of a geometry-optimized Tm8ZnSi3Se4 structure, from Alexandria via LeMat-Bulk.

a = 8.2211 Å, b = 8.2211 Å, c = 8.2211 Å
α = 58.35°, β = 58.35°, γ = 58.35°
Last column: nearest neighbours and their distance in Å.
Sites, in units of the cell vectors:
Tm (0.2411, 0.7510, 0.7510)  2 Si 2.82, 3 Se 2.86-2.92, 1 Zn 2.88
Tm (0.2442, 0.2442, 0.2442)  3 Si 2.80, 3 Se 2.94
Tm (0.2490, 0.2490, 0.7589)  2 Si 2.82, 3 Se 2.86-2.92, 1 Zn 2.88
Tm (0.2490, 0.7589, 0.2490)  2 Si 2.82, 3 Se 2.86-2.92, 1 Zn 2.88
Tm (0.7510, 0.2411, 0.7510)  2 Si 2.82, 3 Se 2.86-2.92, 1 Zn 2.88
Tm (0.7510, 0.7510, 0.2411)  2 Si 2.82, 3 Se 2.86-2.92, 1 Zn 2.88
Tm (0.7558, 0.7558, 0.7558)  3 Si 2.80, 3 Se 2.94
Tm (0.7589, 0.2490, 0.2490)  2 Si 2.82, 3 Se 2.86-2.92, 1 Zn 2.88
Zn (0.5000, 0.5000, 0.5000)  6 Tm 2.88
Si (0.0000, 0.0000, 0.5000)  6 Tm 2.80-2.82
Si (0.0000, 0.5000, 0.0000)  6 Tm 2.80-2.82
Si (0.5000, 0.0000, 0.0000)  6 Tm 2.80-2.82
Se (0.0000, 0.0000, 0.0000)  6 Tm 2.86
Se (0.0000, 0.5000, 0.5000)  6 Tm 2.92-2.94
Se (0.5000, 0.0000, 0.5000)  6 Tm 2.92-2.94
Se (0.5000, 0.5000, 0.0000)  6 Tm 2.92-2.94

Summary:
The volume comes out at 378 Å³/cell. The calculation puts the total DFT energy (no corrections) at -85.98 eV for the cell shown. As for the formation energy (no corrections): -1.17 eV/atom.

# 11
The following is a PBE calculation of a geometry-optimized USiSe6 structure, from Alexandria via LeMat-Bulk.

a = 6.2753 Å, b = 12.7302 Å, c = 6.5231 Å
α = 90.00°, β = 113.80°, γ = 90.00°
Last column: nearest neighbours and their distance in Å.
Sites, in units of the cell vectors:
U (0.0000, 0.0000, 0.0000)  6 Se 2.66-2.86
U (0.5000, 0.5000, 0.0000)  6 Se 2.66-2.86
Si (0.0000, 0.5000, 0.5000)  6 Se 2.45-2.62
Si (0.5000, 0.0000, 0.5000)  6 Se 2.45-2.62
Se (0.1794, 0.0000, 0.6610)  1 Se 2.38, 1 Si 2.62
Se (0.1825, 0.3582, 0.7685)  1 Si 2.45, 1 U 2.66
Se (0.1825, 0.6418, 0.7685)  1 Si 2.45, 1 U 2.66
Se (0.3175, 0.1418, 0.2315)  1 Si 2.45, 1 U 2.66
Se (0.3175, 0.8582, 0.2315)  1 Si 2.45, 1 U 2.66
Se (0.3206, 0.5000, 0.3390)  1 Se 2.38, 1 Si 2.62
Se (0.6794, 0.5000, 0.6610)  1 Se 2.38, 1 Si 2.62
Se (0.6825, 0.1418, 0.7685)  1 Si 2.45, 1 U 2.66
Se (0.6825, 0.8582, 0.7685)  1 Si 2.45, 1 U 2.66
Se (0.8175, 0.3582, 0.2315)  1 Si 2.45, 1 U 2.66
Se (0.8175, 0.6418, 0.2315)  1 Si 2.45, 1 U 2.66
Se (0.8206, 0.0000, 0.3390)  1 Se 2.38, 1 Si 2.62

Summary:
The volume comes out at 477 Å³/cell. The calculation puts the total DFT energy (no corrections) at -80.88 eV for the cell shown. As for the formation energy (no corrections): -0.35 eV/atom.